Entry from Alexandria: an optimized crystal structure of CaMg3B (PBE).

abc: 6.090 6.090 6.090
angles: 90.00 90.00 90.00
Last column: magnetic moment on the atom in μB.
Fractional positions:
Ca  0.000  0.000  0.000  0.07
B  0.500  0.500  0.500  0.30
Mg  0.000  0.500  0.000  0.01
Mg  0.000  0.000  0.500  0.01
Mg  0.500  0.000  0.000  0.01

**ΔH_f (0 K)**: 1.85 eV per atom
**Space group**: Pm-3m (221)